*i*
Below is crystalline AcTbErTm at its relaxed geometry, with properties calculated at the PBE level.

POSCAR file:
```
AcTbErTm
1.0
-5.0344 1.9711 -2.0805
-4.6070 0.4256 3.4861
-1.9513 5.2152 1.5977
Tb Ac Er Tm
1 1 1 1
Cartesian
-8.6945 5.7089 2.2525
-2.8982 1.9030 0.7508
0.0000 0.0000 0.0000
-5.7963 3.8059 1.5017
```

Calculated values
density of states at the Fermi level	1.5186	states/eV/atom

---

*ii*
Below is crystalline AcTbErTm at its relaxed geometry, with properties calculated at the PBE level.

POSCAR file:
```
AcTbErTm
1.0
-2.5700 -0.7195 2.5052
-0.4390 -1.1387 -3.4510
7.2525 -9.2290 2.1235
Er Tm Ac Tb
1 1 1 1
Cartesian
5.2787 -8.8598 0.7079
0.0061 -2.1521 -2.7776
-0.0039 -4.5065 1.8828
3.2863 -6.3234 2.0659
```

Calculated values
density of states at the Fermi level	1.3875	states/eV/atom

---

Quick one: most stable of them? *ii*

---

*i*
Below is crystalline AcTbYEr at its relaxed geometry, with properties calculated at the PBE level.

POSCAR file:
```
AcTbYEr
1.0
-3.0188 -2.0076 0.6658
2.5363 0.4440 2.6374
-4.4484 10.8754 2.4463
Ac Tb Er Y
1 1 1 1
Cartesian
-3.5983 2.2342 2.5593
-3.8994 5.9550 2.2205
-3.3708 9.0563 3.7660
1.5884 1.3070 2.8788
```

Calculated values
density of states at the Fermi level	1.4067	states/eV/atom

---

*ii*
Below is crystalline AcTbYEr at its relaxed geometry, with properties calculated at the PBE level.

POSCAR file:
```
AcTbYEr
1.0
-2.9606 -5.0176 0.1190
2.4149 -4.7528 2.3527
-2.0004 -2.0833 5.0610
Y Tb Ac Er
1 1 1 1
Cartesian
-1.9096 -8.8903 5.6495
-0.6365 -2.9634 1.8832
0.0000 0.0000 0.0000
-1.2731 -5.9268 3.7663
```

Calculated values
density of states at the Fermi level	1.7388	states/eV/atom

---

Quick one: most stable of them? *i*

---

*i*
Below is crystalline AcEr3Tc at its relaxed geometry, with properties calculated at the PBE level.

POSCAR file:
```
AcEr3Tc
1.0
-0.3639 4.1509 0.2540
-1.0829 -0.6247 8.6566
8.4837 0.6759 1.1100
Er Tc Ac
6 2 2
Cartesian
0.5722 2.7766 6.8998
6.4647 1.4254 3.1208
0.7067 0.8631 4.0604
5.9134 3.0985 9.2916
1.1234 1.1035 0.7291
6.3301 3.3390 5.9603
7.3979 1.2305 7.6421
-0.3611 2.9715 2.3786
3.2893 3.2624 2.8562
3.7476 0.9396 7.1645
```

Calculated values
density of states at the Fermi level	1.0372	states/eV/atom

---

*ii*
Below is crystalline AcEr3Tc at its relaxed geometry, with properties calculated at the PBE level.

POSCAR file:
```
AcEr3Tc
1.0
-3.2938 -0.7735 4.2559
3.9843 -2.6251 2.6065
1.6841 4.6979 2.1572
Ac Er Tc
1 3 1
Cartesian
1.1873 0.6496 4.5098
1.9921 -1.3126 1.3032
0.8421 2.3489 1.0786
-1.6469 -0.3867 2.1279
0.0000 0.0000 0.0000
```

Calculated values
density of states at the Fermi level	1.5707	states/eV/atom

---

Quick one: most stable of them? *i*

---

*i*
Below is crystalline AcEr2Te at its relaxed geometry, with properties calculated at the PBE level.

POSCAR file:
```
AcEr2Te
1.0
-0.8311 0.7827 -3.6875
2.1836 -1.4683 -2.8244
-6.1598 -9.2444 -2.5944
Te Er Ac
1 2 1
Cartesian
-2.4037 -4.9650 -4.5532
-0.7635 -3.5715 -6.6475
-4.0438 -6.3585 -2.4588
0.0000 0.0000 0.0000
```

Calculated values
density of states at the Fermi level	1.2389	states/eV/atom

---

*ii*
Below is crystalline AcEr2Te at its relaxed geometry, with properties calculated at the PBE level.

POSCAR file:
```
AcEr2Te
1.0
-1.4073 -2.4592 2.7311
1.3352 -3.6968 0.1945
7.2629 0.9181 7.4044
Te Er Ac
1 2 1
Cartesian
-0.0467 -4.1035 1.9516
5.7925 0.3188 6.1071
1.4480 -1.4520 2.2740
3.5924 -2.6202 5.1624
```

Calculated values
density of states at the Fermi level	1.3055	states/eV/atom

---

Quick one: most stable of them? *ii*

---

*i*
Below is crystalline Ac2ErTe4 at its relaxed geometry, with properties calculated at the PBE level.

POSCAR file:
```
Ac2ErTe4
1.0
4.3735 0.0000 0.0000
-2.1867 7.8202 0.0000
0.0000 0.0000 15.5997
Ac Te Er
4 8 2
Cartesian
0.0000 2.0668 6.6050
2.1867 5.7534 14.4049
2.1867 5.7534 8.9947
0.0000 2.0668 1.1948
2.1867 0.0000 0.0000
0.0000 3.3329 9.8004
0.0000 0.1622 3.8999
2.1867 0.0000 7.7999
0.0000 3.3329 13.5992
2.1867 4.4873 2.0005
2.1867 4.4873 5.7993
2.1867 7.6580 11.6998
0.0000 5.7715 3.8999
2.1867 2.0487 11.6998
```

Calculated values
density of states at the Fermi level	0.3684	states/eV/atom

---

*ii*
Below is crystalline Ac2ErTe4 at its relaxed geometry, with properties calculated at the PBE level.

POSCAR file:
```
Ac2ErTe4
1.0
-1.9115 3.8668 0.8739
-5.0450 -1.2519 5.5864
3.2891 2.4176 7.5792
Ac Te Er
2 4 1
Cartesian
-2.3026 2.7099 5.1374
-1.3647 2.3227 8.9021
-4.3909 3.5748 7.8247
-2.0152 3.8569 11.7730
-1.6521 1.1757 2.2665
0.7236 1.4577 6.2148
0.0000 0.0000 0.0000
```

Calculated values
density of states at the Fermi level	0.1653	states/eV/atom

---

Quick one: most stable of them? *ii*

---

*i*
Below is crystalline Ac4ErTe5 at its relaxed geometry, with properties calculated at the PBE level.

POSCAR file:
```
Ac4ErTe5
1.0
-3.1351 1.2510 3.1011
-1.6725 -3.0903 2.9434
12.6303 3.7230 14.6543
Ac Er Te
4 1 5
Cartesian
-0.3669 -0.4864 9.9881
-0.1167 -0.1604 3.3344
8.1896 2.3701 10.7108
7.9394 2.0441 17.3645
3.9114 0.9419 10.3494
0.0000 0.0000 0.0000
-0.2336 -0.3209 6.6685
3.4820 0.6862 13.4061
4.3407 1.1975 7.2928
8.0563 2.2046 14.0304
```

Calculated values
density of states at the Fermi level	0.6195	states/eV/atom

---

*ii*
Below is crystalline Ac4ErTe5 at its relaxed geometry, with properties calculated at the PBE level.

POSCAR file:
```
Ac4ErTe5
1.0
5.9460 0.0000 2.8679
2.9730 7.3458 1.4340
-0.2183 0.0000 8.0503
Te Ac Er
5 4 1
Cartesian
2.4077 4.5553 2.6154
6.3004 2.7905 9.7404
3.9707 6.0360 6.9727
4.7374 1.3097 5.3831
2.9845 0.0000 1.4395
5.2549 4.4213 4.3105
1.7063 1.5996 4.0699
7.0020 5.7462 8.2860
3.4535 2.9244 8.0454
0.0195 0.0000 0.0094
```

Calculated values
density of states at the Fermi level	0.5744	states/eV/atom

---

Quick one: most stable of them? *i*

---

*i*
Below is crystalline AcErTe2 at its relaxed geometry, with properties calculated at the PBE level.

POSCAR file:
```
AcErTe2
1.0
-1.6524 3.0364 3.0631
-5.8519 0.9002 -4.0328
-4.6002 -7.5398 4.9922
Te Ac Er
4 2 2
Cartesian
-0.7506 0.4630 0.5345
-8.6445 -3.3375 3.5450
-5.2612 1.1881 0.8722
-3.1005 -2.3694 2.0847
-6.1479 -1.3879 2.9490
-9.0621 -3.7905 0.2854
-6.1919 -0.7145 -1.2252
-7.2053 -4.7485 5.7014
```

Calculated values
density of states at the Fermi level	0.3589	states/eV/atom

---

*ii*
Below is crystalline AcErTe2 at its relaxed geometry, with properties calculated at the PBE level.

POSCAR file:
```
AcErTe2
1.0
4.2048 0.0020 1.2378
1.9038 3.7491 1.2378
-0.1260 -0.0774 8.2503
Ac Er Te
1 1 2
Cartesian
2.9913 1.8369 5.3630
0.0000 0.0000 0.0000
4.4207 2.7146 8.2740
1.5619 0.9591 2.4520
```

Calculated values
density of states at the Fermi level	0.4544	states/eV/atom

---

*iii*
Below is crystalline AcErTe2 at its relaxed geometry, with properties calculated at the PBE level.

POSCAR file:
```
AcErTe2
1.0
4.5730 0.0000 0.0000
2.2865 3.9604 0.0000
2.2865 1.3201 9.8688
Te Ac Er
2 1 1
Cartesian
6.8595 3.9604 2.9555
2.2865 1.3201 6.9133
4.5730 2.6402 4.9344
0.0000 0.0000 0.0000
```

Calculated values
density of states at the Fermi level	0.5159	states/eV/atom

---

Quick one: most stable of them? *ii*

---

*i*
Below is crystalline AcErTe2 at its relaxed geometry, with properties calculated at the PBE level.

POSCAR file:
```
AcErTe2
1.0
-2.5960 3.4275 -0.6909
-4.2145 -0.2086 1.0763
-0.5338 3.8676 7.4690
Ac Er Te
1 1 2
Cartesian
-3.6574 3.5670 3.9896
-5.0909 5.9866 7.6554
-0.9141 3.2556 5.8615
-1.8879 1.6881 1.7443
```

Calculated values
density of states at the Fermi level	0.4599	states/eV/atom

---

*ii*
Below is crystalline AcErTe2 at its relaxed geometry, with properties calculated at the PBE level.

POSCAR file:
```
AcErTe2
1.0
-0.2602 5.4738 -0.8332
-2.6198 2.0038 -4.4548
-4.8236 2.6666 0.5878
Er Te Ac
1 2 1
Cartesian
0.0000 0.0000 0.0000
-5.7778 7.6082 -3.5252
-1.9259 2.5361 -1.1751
-3.8518 5.0721 -2.3501
```

Calculated values
density of states at the Fermi level	0.9693	states/eV/atom

---

Quick one: most stable of them? *i*